Entry 1:
# PBE Zn2PSe, relaxed
data_Zn2PSe
_chemical_formula_sum 'Zn2 P1 Se1'
_symmetry_space_group_name_H-M 'P m m 2'
_symmetry_Int_Tables_number 25
_symmetry_space_group_name_Hall 'P 2 -2'
_cell_length_a 3.172
_cell_length_b 3.737
_cell_length_c 6.591
_cell_angle_alpha 90.00
_cell_angle_beta 90.00
_cell_angle_gamma 90.00
loop_
_atom_site_label
_atom_site_fract_x
_atom_site_fract_y
_atom_site_fract_z
Zn1 0.000 0.000 0.000
Zn2 0.500 0.500 0.464
P1 0.000 0.000 0.355
Se1 0.500 0.500 0.846
# - E_tot (eV/atom) = -3.01
# - ΔE_f (raw) (meV per atom) = -148

Entry 2:
# PBE YTeP2S, relaxed
data_YTeP2S
_chemical_formula_sum 'Y1 Te1 P2 S1'
_symmetry_space_group_name_H-M 'P 4/m m m'
_symmetry_Int_Tables_number 123
_symmetry_space_group_name_Hall '-P 4 2'
_cell_length_a 4.971
_cell_length_b 4.971
_cell_length_c 4.998
_cell_angle_alpha 90.00
_cell_angle_beta 90.00
_cell_angle_gamma 90.00
loop_
_atom_site_label
_atom_site_fract_x
_atom_site_fract_y
_atom_site_fract_z
Y1 0.000 0.000 0.000
Te1 0.500 0.500 0.500
P1 0.000 0.500 0.500
S1 0.500 0.500 0.000
# - E_tot (eV/atom) = -4.66
# - ΔE to the lowest computed polymorph (meV/atom) = 0
# - ΔE_f (raw) (meV per atom) = 251

Entry 3:
# PBE SmY3Bi4, relaxed
data_SmY3Bi4
_chemical_formula_sum 'Sm1 Y3 Bi4'
_symmetry_space_group_name_H-M 'P m -3 m'
_symmetry_Int_Tables_number 221
_symmetry_space_group_name_Hall '-P 4 2 3'
_cell_length_a 6.363
_cell_length_b 6.363
_cell_length_c 6.363
_cell_angle_alpha 90.00
_cell_angle_beta 90.00
_cell_angle_gamma 90.00
loop_
_atom_site_label
_atom_site_fract_x
_atom_site_fract_y
_atom_site_fract_z
Sm1 0.000 0.000 0.000
Y1 0.000 0.500 0.500
Bi1 0.000 0.000 0.500
Bi2 0.500 0.500 0.500
# - E_tot (eV/atom) = -5.86
# - ΔE to the lowest computed polymorph (meV/atom) = 0
# - calculated formation energy (kcal/mol of atoms) = -20.919

Entry 4:
# PBE Tb3Sc4, relaxed
data_Tb3Sc4
_chemical_formula_sum 'Tb6 Sc8'
_symmetry_space_group_name_H-M 'C 1 2/m 1'
_symmetry_Int_Tables_number 12
_symmetry_space_group_name_Hall '-C 2y'
_cell_length_a 10.578
_cell_length_b 4.838
_cell_length_c 7.607
_cell_angle_alpha 90.00
_cell_angle_beta 98.63
_cell_angle_gamma 90.00
loop_
_atom_site_label
_atom_site_fract_x
_atom_site_fract_y
_atom_site_fract_z
Tb1 0.000 0.000 0.000
Tb2 0.074 0.500 0.715
Sc1 0.144 0.000 0.434
Sc2 0.213 0.500 0.148
# - E_tot (eV/atom) = -5.55
# - calculated formation energy (kcal/mol of atoms) = 1.251